Entry 1:
DFT (PBEsol) results for a relaxed structure of ZrC.

Lattice parameters (Å, degrees): 4.685 4.685 5.877 90.00 90.00 120.00
Element x y z (fractional)
1 Zr 0.000 0.000 0.250
2 Zr 0.000 0.000 0.750
3 Zr 0.333 0.667 0.250
4 Zr 0.667 0.333 0.750
5 C 0.333 0.667 0.636
6 C 0.333 0.667 0.864
7 C 0.667 0.333 0.136
8 C 0.667 0.333 0.364

DOS(E_F): 0.78 states/eV/atom
calculated formation energy: 1.66 eV/f.u.
spin magnetization: 0.00 μB/f.u.


Entry 2:
DFT (PBEsol) results for a relaxed structure of Li3TlBr.

Lattice parameters (Å, degrees): 4.842 4.842 4.842 90.00 90.00 90.00
Element x y z (fractional)
1 Li 0.000 0.000 0.500
2 Li 0.000 0.500 0.000
3 Li 0.500 0.000 0.000
4 Tl 0.500 0.500 0.500
5 Br 0.000 0.000 0.000

uncorrected formation energy: -2.41 eV/f.u.
DOS(E_F): 0.35 states/eV/atom
spin magnetization: 0.00 μB/f.u.


Entry 3:
DFT (PBEsol) results for a relaxed structure of MgSiIr2.

Lattice parameters (Å, degrees): 4.224 4.224 4.224 60.00 60.00 60.00
Element x y z (fractional)
1 Mg 0.000 0.000 0.000
2 Si 0.500 0.500 0.500
3 Ir 0.250 0.250 0.250
4 Ir 0.750 0.750 0.750

uncorrected formation energy: -2.21 eV/f.u.
DOS(E_F): 0.26 states/eV/atom
spin magnetization: 0.00 μB/f.u.


Entry 4:
DFT (PBEsol) results for a relaxed structure of AlInAg2.

Lattice parameters (Å, degrees): 4.826 4.826 5.419 102.12 102.12 35.98
Element x y z (fractional)
1 Al 0.000 0.000 0.000
2 In 0.500 0.500 0.500
3 Ag 0.260 0.260 0.771
4 Ag 0.740 0.740 0.229

DOS(E_F): 0.35 states/eV/atom
calculated formation energy: -0.02 eV/f.u.
spin magnetization: 0.00 μB/f.u.


Entry 5:
DFT (PBEsol) results for a relaxed structure of YHgSe3.

Lattice parameters (Å, degrees): 5.096 5.096 5.096 90.00 90.00 90.00
Element x y z (fractional)
1 Y 0.000 0.000 0.000
2 Hg 0.500 0.500 0.500
3 Se 0.000 0.500 0.500
4 Se 0.500 0.000 0.500
5 Se 0.500 0.500 0.000

uncorrected formation energy: -0.86 eV/f.u.
DOS(E_F): 0.53 states/eV/atom
spin magnetization: 0.00 μB/f.u.


Entry 6:
DFT (PBEsol) results for a relaxed structure of MgHgIr.

Lattice parameters (Å, degrees): 4.418 4.418 4.418 60.00 60.00 60.00
Element x y z (fractional)
1 Mg 0.000 0.000 0.000
2 Hg 0.500 0.500 0.500
3 Ir 0.250 0.250 0.250

DOS(E_F): 0.55 states/eV/atom
calculated formation energy: 0.61 eV/f.u.
spin magnetization: 0.00 μB/f.u.


Entry 7:
DFT (PBEsol) results for a relaxed structure of InAgS2.

Lattice parameters (Å, degrees): 4.081 4.081 6.647 90.00 90.00 120.00
Element x y z (fractional)
1 In 0.000 0.000 0.000
2 Ag 0.333 0.667 0.544
3 S 0.000 0.000 0.640
4 S 0.333 0.667 0.157

uncorrected formation energy: -1.32 eV/f.u.
DOS(E_F): 0.22 states/eV/atom
spin magnetization: 0.00 μB/f.u.


Entry 8:
DFT (PBEsol) results for a relaxed structure of LiRu2Cl.

Lattice parameters (Å, degrees): 2.758 4.285 4.884 90.00 90.00 90.00
Element x y z (fractional)
1 Li 0.000 0.000 0.000
2 Ru 0.000 0.500 0.500
3 Ru 0.500 0.000 0.500
4 Cl 0.500 0.500 0.000

uncorrected formation energy: 1.84 eV/f.u.
DOS(E_F): 1.03 states/eV/atom
spin magnetization: 0.00 μB/f.u.


Which final energy belongs to each record? In order, -68.28, -12.81, -29.32, -13.72, -19.80, -11.50, -16.38, -22.48 eV per cell.